The following is a PBE-GGA calculation of Ca3Ho2AgTe6 after structural relaxation, from the Alexandria database.

Summary:
The space group is C2/m. For the uncorrected formation energy, the calculation gives -1.294 eV per atom. The value obtained for the density of states at the Fermi level is 0.327 states/eV per atom.

Lattice parameters (Å, degrees): 7.689 7.689 7.653 99.66 99.66 119.94
Atoms (fractional coordinates):
Ca (0.165, 0.835, 0.500)
Ca (0.835, 0.165, 0.500)
Ca (0.500, 0.500, 0.500)
Ho (0.333, 0.667, 0.000)
Ho (0.667, 0.333, 0.000)
Ag (0.000, 0.000, 0.000)
Te (0.920, 0.585, 0.760)
Te (0.745, 0.745, 0.240)
Te (0.080, 0.415, 0.240)
Te (0.585, 0.920, 0.760)
Te (0.255, 0.255, 0.760)
Te (0.415, 0.080, 0.240)